Compound: AlTlAg3
Source: Alexandria
Functional: PBE-GGA
Structure: optimized geometry

Geometry as POSCAR:
```
AlTlAg3
1.0
5.0047 0.0000 0.0000
0.0000 5.0047 0.0000
0.0000 0.0000 5.0047
Al Tl Ag
1 1 3
direct
0.0000 0.0000 0.0000
0.5000 0.5000 0.5000
0.0000 0.0000 0.5000
0.0000 0.5000 0.0000
0.5000 0.0000 0.0000
```

Calculated values
N(E_F), states/eV/cell: 2.5
Space-group type: Pm-3m
ρ, g/cm3: 7.351
Spin magnetization, μB per cell: 0.000
DFT total energy, eV per atom: -2.611